Entry 1:
PBE-GGA Y2Mn, optimized geometry; calculated density = 4.77 Mg/m³; DOS(E_F) = 1.33 states/eV per atom; space-group type = Pa-3 (205); V = 324 Å³/cell; formation energy = 339.6 meV per atom
1.0
6.8700 0.0000 0.0000
0.0000 6.8700 0.0000
0.0000 0.0000 6.8700
Y Mn
8 4
Direct
0.3348 0.3348 0.3348 Y
0.3348 0.1652 0.8348 Y
0.6652 0.8348 0.1652 Y
0.6652 0.6652 0.6652 Y
0.1652 0.8348 0.3348 Y
0.1652 0.6652 0.8348 Y
0.8348 0.3348 0.1652 Y
0.8348 0.1652 0.6652 Y
0.0000 0.0000 0.0000 Mn
0.5000 0.5000 0.0000 Mn
0.5000 0.0000 0.5000 Mn
0.0000 0.5000 0.5000 Mn

***

Entry 2:
PBE-GGA Mg2TaSe, optimized geometry; raw formation energy = 0.070 eV/atom; calculated density = 6.58 Mg/m³; DOS(E_F) = 0.47 states/eV per atom; space-group type = Cmmm (65); V = 78 Å³/cell
1.0
-3.5388 1.4765 -3.5774
-1.5931 -2.7516 4.1703
-0.4981 2.7548 1.6284
Mg Se Ta
2 1 1
Direct
0.0000 0.0000 0.0000 Mg
0.5000 0.5000 0.0000 Mg
0.5000 0.0000 0.5000 Se
0.0000 0.5000 0.5000 Ta

***

Entry 3:
PBE-GGA PaCd4Ag5, optimized geometry; calculated density = 10.08 Mg/m³; DOS(E_F) = 0.65 states/eV per atom; space-group type = P4/mmm (123); V = 201 Å³/cell; formation energy = 15.1 meV per atom
1.0
3.3621 0.0000 0.0000
0.0000 3.3622 0.0000
0.0000 0.0000 17.7708
Cd Ag Pa
4 5 1
Direct
0.0000 0.0000 0.7875 Cd
0.0000 0.0000 0.2125 Cd
0.0000 0.0000 0.5954 Cd
0.0000 0.0000 0.4046 Cd
0.5000 0.5000 0.5000 Ag
0.5000 0.5000 0.3093 Ag
0.5000 0.5000 0.1180 Ag
0.5000 0.5000 0.8820 Ag
0.5000 0.5000 0.6907 Ag
0.0000 0.0000 0.0000 Pa

***

Entry 4:
PBE-GGA Cs2Te3Se4, optimized geometry; energy relative to the lowest polymorph listed for this composition = 0 meV/atom; raw formation energy = -0.452 eV/atom; calculated density = 4.70 Mg/m³; DOS(E_F) = 0.02 states/eV per atom; space-group type = Fmmm (69); V = 341 Å³/cell
1.0
7.3670 -0.1071 0.0000
-3.5187 6.4732 0.0000
-1.9241 -3.1831 7.2021
Se Te Cs
4 3 2
Direct
0.7008 0.0359 0.7367 Se
0.2992 0.9641 0.2633 Se
0.0359 0.7008 0.7367 Se
0.9641 0.2992 0.2633 Se
0.0000 0.0000 0.0000 Te
0.5000 0.0000 0.0000 Te
0.0000 0.5000 0.0000 Te
0.3565 0.3565 0.7131 Cs
0.6435 0.6435 0.2869 Cs

***

Entry 5:
PBE-GGA Ac5TlZn4, optimized geometry; calculated density = 8.59 Mg/m³; DOS(E_F) = 1.14 states/eV per atom; space-group type = P4/mmm (123); V = 309 Å³/cell; formation energy = -264.5 meV per atom
1.0
-0.1427 0.8068 -3.8422
2.2129 -3.1593 -0.7455
-16.5523 -11.1849 -1.7341
Tl Zn Ac
1 4 5
Direct
0.0000 0.0000 0.0000 Tl
0.0000 0.0000 0.5982 Zn
0.0000 0.0000 0.2102 Zn
0.0000 0.0000 0.7898 Zn
0.0000 0.0000 0.4018 Zn
0.5000 0.5000 0.5000 Ac
0.5000 0.5000 0.3057 Ac
0.5000 0.5000 0.1138 Ac
0.5000 0.5000 0.8862 Ac
0.5000 0.5000 0.6943 Ac

***

Entry 6:
PBE-GGA La3Ge3Ru, optimized geometry; calculated density = 7.07 Mg/m³; DOS(E_F) = 0.78 states/eV per atom; space-group type = C2/m (12); V = 346 Å³/cell; formation energy = -761.1 meV per atom
1.0
-0.3549 -2.0471 3.9384
5.4073 -0.2073 2.8966
-2.6912 10.9031 7.9419
La Ge Ru
6 6 2
Direct
0.5989 0.7218 0.0804 La
0.4738 0.6736 0.3788 La
0.2511 0.2674 0.2304 La
0.7489 0.7326 0.7696 La
0.4011 0.2782 0.9196 La
0.5262 0.3264 0.6212 La
0.1480 0.2505 0.4536 Ge
0.1147 0.8456 0.9250 Ge
0.0585 0.1257 0.7574 Ge
0.8520 0.7495 0.5464 Ge
0.8853 0.1544 0.0750 Ge
0.9415 0.8743 0.2426 Ge
0.2419 0.9334 0.5828 Ru
0.7581 0.0666 0.4172 Ru

***

Entry 7:
PBE-GGA LiPr2AuN, optimized geometry; raw formation energy = -0.789 eV/atom; calculated density = 7.74 Mg/m³; DOS(E_F) = 0.78 states/eV per atom; space-group type = P2_1/m (11); V = 214 Å³/cell
1.0
3.7009 0.0000 0.0000
0.0000 7.4581 0.0401
0.0000 -3.1226 7.7488
Pr N Au Li
4 2 2 2
Direct
0.7500 0.8401 0.6153 Pr
0.2500 0.1599 0.3847 Pr
0.7500 0.7950 0.0175 Pr
0.2500 0.2050 0.9825 Pr
0.2500 0.8500 0.8238 N
0.7500 0.1500 0.1762 N
0.7500 0.3116 0.7133 Au
0.2500 0.6884 0.2867 Au
0.7500 0.4431 0.2990 Li
0.2500 0.5569 0.7010 Li

***

Entry 8:
PBE-GGA Zr2Si, optimized geometry; raw formation energy = -0.577 eV/atom; calculated density = 5.76 Mg/m³; DOS(E_F) = 0.72 states/eV per atom; space-group type = Immm (71); V = 121 Å³/cell
1.0
-1.8357 2.7730 5.9594
1.8357 -2.7730 5.9594
1.8357 2.7730 -5.9594
Si Zr
2 4
Direct
0.3628 0.3628 0.0000 Si
0.6372 0.6372 0.0000 Si
0.8015 0.3015 0.5000 Zr
0.2507 0.0000 0.2507 Zr
0.7493 0.0000 0.7493 Zr
0.1985 0.6985 0.5000 Zr

***

Entry 9:
PBE-GGA Mg4As, optimized geometry; energy relative to the lowest polymorph listed for this composition = 92 meV/atom; calculated density = 2.43 Mg/m³; DOS(E_F) = 0.54 states/eV per atom; space-group type = I4/mmm (139); V = 118 Å³/cell; formation energy = 140.3 meV per atom
1.0
-1.9455 1.9455 7.7676
1.9455 -1.9455 7.7676
1.9455 1.9455 -7.7676
Mg As
4 1
Direct
0.4107 0.4107 0.0000 Mg
0.7500 0.2500 0.5000 Mg
0.2500 0.7500 0.5000 Mg
0.5893 0.5893 0.0000 Mg
0.0000 0.0000 0.0000 As

***

Entry 10:
PBE-GGA PmBeRu2C, optimized geometry; calculated density = 8.30 Mg/m³; DOS(E_F) = 0.51 states/eV per atom; space-group type = Cmcm (63); V = 147 Å³/cell; formation energy = -294.4 meV per atom
1.0
-0.1335 0.7533 -3.8086
2.5226 -4.9858 0.9066
-6.3238 -3.2770 -0.4265
Ru Pm Be C
4 2 2 2
Direct
0.8255 0.6510 0.0579 Ru
0.8255 0.6510 0.4421 Ru
0.1745 0.3490 0.5579 Ru
0.1745 0.3490 0.9421 Ru
0.5443 0.0886 0.2500 Pm
0.4557 0.9114 0.7500 Pm
0.7300 0.4599 0.7500 Be
0.2700 0.5401 0.2500 Be
0.0000 0.0000 0.0000 C
0.0000 0.0000 0.5000 C

***

Entry 11:
PBE-GGA InCoSN2, optimized geometry; energy relative to the lowest polymorph listed for this composition = 0 meV/atom; raw formation energy = 0.836 eV/atom; calculated density = 5.70 Mg/m³; DOS(E_F) = 0.87 states/eV per atom; space-group type = P4/mmm (123); V = 68 Å³/cell
1.0
-1.5887 1.5787 -2.9390
-2.7282 -2.4883 0.1381
-2.5928 3.0104 3.0187
N Co In S
2 1 1 1
Direct
0.0000 0.5000 0.0000 N
0.5000 0.0000 0.0000 N
0.0000 0.0000 0.0000 Co
0.5000 0.5000 0.5000 In
0.0000 0.0000 0.5000 S

***

Entry 12:
PBE-GGA ZrScNb2, optimized geometry; energy relative to the lowest polymorph listed for this composition = 26 meV/atom; calculated density = 6.61 Mg/m³; DOS(E_F) = 1.99 states/eV per atom; space-group type = Fm-3m (225); V = 81 Å³/cell; formation energy = 209.9 meV per atom
1.0
0.1133 -4.7158 1.1499
-3.4361 -2.9914 -1.6791
1.0979 -3.2994 -3.3887
Nb Zr Sc
2 1 1
Direct
0.7500 0.7500 0.7500 Nb
0.2500 0.2500 0.2500 Nb
0.5000 0.5000 0.5000 Zr
0.0000 0.0000 0.0000 Sc

***

Entry 13:
PBE-GGA CaPuHg6, optimized geometry; calculated density = 12.14 Mg/m³; DOS(E_F) = 1.76 states/eV per atom; space-group type = Amm2 (38); V = 203 Å³/cell; formation energy = -284.8 meV per atom
1.0
5.1951 0.0000 0.0000
0.0000 6.7204 -0.2175
0.0000 -3.1704 5.9295
Ca Hg Pu
1 6 1
Direct
0.5000 0.4162 0.5838 Ca
0.5000 0.9166 0.0834 Hg
0.5000 0.4176 0.0840 Hg
0.0000 0.5874 0.9245 Hg
0.5000 0.9160 0.5824 Hg
0.0000 0.0755 0.4126 Hg
0.0000 0.5865 0.4135 Hg
0.0000 0.0838 0.9162 Pu

***

Entry 14:
PBE-GGA Np2Ge6Pd21, optimized geometry; calculated density = 10.81 Mg/m³; DOS(E_F) = 0.95 states/eV per atom; space-group type = Fm-3m (225); V = 483 Å³/cell; formation energy = -430.5 meV per atom
1.0
7.6265 0.0001 4.4033
2.5423 7.1906 4.4033
0.0000 0.0000 8.8066
Pd Ge Np
21 6 2
Direct
0.0000 0.6528 0.0000 Pd
0.0000 0.3472 0.0000 Pd
0.0000 0.0000 0.6528 Pd
0.6188 0.6188 0.6188 Pd
0.6528 0.0000 0.0000 Pd
0.0000 0.0000 0.3472 Pd
0.3472 0.0000 0.0000 Pd
0.6188 0.1437 0.6188 Pd
0.6528 0.0000 0.3472 Pd
0.3812 0.8563 0.3812 Pd
0.6188 0.6188 0.1437 Pd
0.3812 0.3812 0.3812 Pd
0.3812 0.3812 0.8563 Pd
0.0000 0.6528 0.3472 Pd
0.3472 0.0000 0.6528 Pd
0.8563 0.3812 0.3812 Pd
0.0000 0.3472 0.6528 Pd
0.3472 0.6528 0.0000 Pd
0.1437 0.6188 0.6188 Pd
0.6528 0.3472 0.0000 Pd
0.0000 0.0000 0.0000 Pd
0.7346 0.2654 0.2654 Ge
0.2654 0.2654 0.7346 Ge
0.2654 0.7346 0.7346 Ge
0.7346 0.2654 0.7346 Ge
0.7346 0.7346 0.2654 Ge
0.2654 0.7346 0.2654 Ge
0.2500 0.2500 0.2500 Np
0.7500 0.7500 0.7500 Np

***

Entry 15:
PBE-GGA Rb2LaOsO6, optimized geometry; raw formation energy = -1.880 eV/atom; calculated density = 6.13 Mg/m³; DOS(E_F) = 0.41 states/eV per atom; space-group type = Fm-3m (225); V = 161 Å³/cell
1.0
-0.5664 -2.2041 -5.6733
5.9769 0.8737 -0.9369
-1.8926 -3.3182 4.7710
La O Rb Os
1 6 2 1
Direct
0.4999 0.5004 0.9998 La
0.2210 0.2215 0.9998 O
0.2209 0.7794 0.9998 O
0.2209 0.2214 0.4419 O
0.7789 0.7794 0.5577 O
0.7788 0.7793 0.9998 O
0.7789 0.2214 0.9998 O
0.2499 0.7504 0.4998 Rb
0.7499 0.2504 0.4998 Rb
0.9999 0.0004 0.9998 Os

***

Entry 16:
PBE-GGA HoSnS2, optimized geometry; raw formation energy = -0.539 eV/atom; calculated density = 5.21 Mg/m³; DOS(E_F) = 0.77 states/eV per atom; space-group type = R-3m (166); V = 111 Å³/cell
1.0
-0.5338 0.5294 3.8432
2.5095 -1.5751 2.5607
5.3161 6.5738 1.8280
Ho S Sn
1 2 1
Direct
0.0000 0.0000 0.0000 Ho
0.8964 0.8964 0.3108 S
0.1036 0.1036 0.6892 S
0.5000 0.5000 0.5000 Sn

***

Entry 17:
PBE-GGA Zn2Pb, optimized geometry; calculated density = 8.44 Mg/m³; DOS(E_F) = 0.54 states/eV per atom; space-group type = I4/mcm (140); V = 133 Å³/cell; formation energy = 117.3 meV per atom
1.0
0.5744 5.7605 2.8066
-5.6023 3.0437 0.8606
2.1814 -5.9063 1.3219
Zn Pb
4 2
Direct
0.1796 0.6796 0.8593 Zn
0.3204 0.1796 0.5000 Zn
0.6796 0.8204 0.5000 Zn
0.8204 0.3204 0.1407 Zn
0.2500 0.2500 0.0000 Pb
0.7500 0.7500 0.0000 Pb

***

Entry 18:
PBE-GGA CdCuHg2F8, optimized geometry; raw formation energy = -1.623 eV/atom; calculated density = 7.04 Mg/m³; space-group type = P-1 (2); V = 172 Å³/cell
1.0
-2.0406 3.2692 1.0581
-2.2290 -0.4019 -5.0566
-5.3882 -4.3557 3.7128
F Hg Cd Cu
8 2 1 1
Direct
0.9595 0.3105 0.7223 F
0.5215 0.7610 0.5218 F
0.0554 0.8323 0.7766 F
0.4785 0.2390 0.4782 F
0.0405 0.6895 0.2777 F
0.6089 0.7663 0.0192 F
0.3911 0.2337 0.9808 F
0.9446 0.1677 0.2234 F
0.4879 0.5244 0.7540 Hg
0.5121 0.4756 0.2460 Hg
0.0000 0.0000 0.5000 Cd
0.0000 0.0000 0.0000 Cu

***

Entry 19:
PBE-GGA MnAg, optimized geometry; calculated density = 5.58 Mg/m³; DOS(E_F) = 0.57 states/eV per atom; space-group type = P6_3/mmc (194); V = 97 Å³/cell; formation energy = 963.4 meV per atom
1.0
4.5784 0.0000 0.0000
-2.2892 3.9650 0.0000
0.0000 0.0000 5.3423
Mn Ag
2 2
Direct
0.3333 0.6667 0.2500 Mn
0.6667 0.3333 0.7500 Mn
0.6667 0.3333 0.2500 Ag
0.3333 0.6667 0.7500 Ag

***

Entry 20:
PBE-GGA Na3PuMn2S6, optimized geometry; raw formation energy = -1.044 eV/atom; calculated density = 4.19 Mg/m³; DOS(E_F) = 0.66 states/eV per atom; space-group type = C2/m (12); V = 244 Å³/cell
1.0
-5.6647 -2.5336 -1.9759
5.4111 -3.6205 -0.1546
-1.1351 -0.0262 6.8874
Mn Na Pu S
2 3 1 6
Direct
0.6674 0.3326 0.0000 Mn
0.3326 0.6674 0.0000 Mn
0.1635 0.8365 0.5000 Na
0.8365 0.1635 0.5000 Na
0.5000 0.5000 0.5000 Na
0.0000 0.0000 0.0000 Pu
0.5771 0.9292 0.7875 S
0.9292 0.5771 0.7875 S
0.0708 0.4229 0.2125 S
0.7188 0.7188 0.2121 S
0.4229 0.0708 0.2125 S
0.2812 0.2812 0.7879 S

***

Entry 21:
PBE-GGA AcNdYHo, optimized geometry; energy relative to the lowest polymorph listed for this composition = 0 meV/atom; calculated density = 7.27 Mg/m³; DOS(E_F) = 1.33 states/eV per atom; space-group type = Cm (8); V = 143 Å³/cell; formation energy = 57.7 meV per atom
1.0
3.7084 0.0012 0.0005
-1.8523 3.2096 0.0031
-1.8487 -1.0796 11.9952
Y Nd Ho Ac
1 1 1 1
Direct
0.1299 0.9631 0.1054 Y
0.4790 0.1372 0.6310 Nd
0.3033 0.5495 0.8700 Ho
0.9657 0.3810 0.3632 Ac

***

Entry 22:
PBE-GGA CuPdRh, optimized geometry; energy relative to the lowest polymorph listed for this composition = 50 meV/atom; calculated density = 10.75 Mg/m³; DOS(E_F) = 1.63 states/eV per atom; space-group type = P3m1 (156); V = 42 Å³/cell; formation energy = 43.8 meV per atom
1.0
2.7250 0.0000 0.0000
-1.3625 2.3599 0.0000
0.0000 0.0000 6.5516
Cu Pd Rh
1 1 1
Direct
0.3333 0.6667 0.6648 Cu
0.0000 0.0000 0.9930 Pd
0.6667 0.3333 0.3422 Rh

***

Entry 23:
PBE-GGA TmZnSnIr, optimized geometry; calculated density = 12.02 Mg/m³; DOS(E_F) = 0.65 states/eV per atom; space-group type = F-43m (216); V = 75 Å³/cell; formation energy = -430.9 meV per atom
1.0
4.7406 0.0000 0.0000
2.3703 4.1055 0.0000
2.3703 1.3685 3.8707
Tm Ir Zn Sn
1 1 1 1
Direct
0.7500 0.7500 0.7500 Tm
0.0000 0.0000 0.0000 Ir
0.5000 0.5000 0.5000 Zn
0.2500 0.2500 0.2500 Sn

***

Entry 24:
PBE-GGA NbVZn4, optimized geometry; calculated density = 7.74 Mg/m³; DOS(E_F) = 0.55 states/eV per atom; space-group type = F-43m (216); V = 87 Å³/cell; formation energy = -37.0 meV per atom
1.0
4.9746 0.0000 0.0000
2.4873 4.3081 0.0000
2.4873 1.4360 4.0617
V Zn Nb
1 4 1
Direct
0.0000 0.0000 0.0000 V
0.6253 0.1242 0.6253 Zn
0.1242 0.6253 0.6253 Zn
0.6253 0.6253 0.6253 Zn
0.6253 0.6253 0.1242 Zn
0.2500 0.2500 0.2500 Nb